Here is a relaxed structure of CeSm3Er2As6 from Alexandria. Energies are from PBE-GGA.

Summary:
- space-group type = C2/m (12)
- ΔH_f (0 K) (eV/atom) = -1.510

Cell lengths 7.2161, 7.2161, 7.2290 Å; angles 99.58, 99.58, 119.99 degrees
Last column: nearest neighbours and their distance in Å.
Fractional positions:
As 0.7456 0.7456 0.2423  2 Er 2.91, 1 Ce 2.93, 3 Sm 2.97-2.98
As 0.0812 0.4164 0.2436  2 Er 2.92, 1 Ce 2.93, 3 Sm 2.97-2.98
Sm 0.5000 0.5000 0.5000  6 As 2.97-2.98
Er 0.6667 0.3333 0.0000  6 As 2.91-2.92
Ce 0.0000 0.0000 0.0000  6 As 2.93
Sm 0.1661 0.8339 0.5000  6 As 2.97-2.98
As 0.5836 0.9188 0.7564  2 Er 2.92, 1 Ce 2.93, 3 Sm 2.97-2.98
Er 0.3333 0.6667 0.0000  6 As 2.91-2.92
Sm 0.8339 0.1661 0.5000  6 As 2.97-2.98
As 0.9188 0.5836 0.7564  2 Er 2.92, 1 Ce 2.93, 3 Sm 2.97-2.98
As 0.4164 0.0812 0.2436  2 Er 2.92, 1 Ce 2.93, 3 Sm 2.97-2.98
As 0.2544 0.2544 0.7577  2 Er 2.91, 1 Ce 2.93, 3 Sm 2.97-2.98